Entry 1:
DFT (PBE) results for a relaxed SmYGaSi crystal.

The structure in extended XYZ format:
```
4
Lattice="4.3569 0.0000 0.0000 0.0000 3.9940 0.0000 -2.1784 0.0000 5.4410" Properties=species:S:1:pos:R:3 pbc="T T T"
Sm 0.0000 0.0000 1.5445
Y 2.1784 1.9970 3.9241
Ga 2.1784 1.9970 0.7936
Si 0.0000 0.0000 4.6197
```

As for the total energy: -5.658 eV per atom. The space group is Amm2, No. 38. The uncorrected formation energy comes out at -750 meV per atom.

Entry 2:
DFT (PBE) results for a relaxed GaSi3Sn crystal.

The structure in extended XYZ format:
```
5
Lattice="4.8075 0.0000 0.0000 0.0000 4.8075 0.0000 0.0000 0.0000 4.8075" Properties=species:S:1:pos:R:3 pbc="T T T"
Si 0.0000 2.4038 0.0000
Si 0.0000 0.0000 2.4038
Si 2.4038 0.0000 0.0000
Sn 2.4038 2.4038 2.4038
Ga 0.0000 0.0000 0.0000
```

As for the total energy: -3.813 eV per atom. The space group is Pm-3m, No. 221. The uncorrected formation energy comes out at 847 meV per atom. The value obtained for the energy relative to the lowest polymorph listed for this composition is 0 meV per atom.

no.,total magnetization (μB/cell)
1,0.0
2,0.0